1.
Material: IrBrO2
Method: DFT, PBE
State: relaxed

Lattice parameters (Å, degrees): 6.1236 6.1236 8.1084 90.00 90.00 90.00
Last column: nearest neighbours and their distance in Å.
Space group I-42d (No. 122)
Asymmetric unit:
Ir1 0.0000 0.0000 0.0000 [4 per cell]  4 O 1.89
Br1 0.0000 0.0000 0.5000 [4 per cell]  8 O 3.21-3.43
O1 0.0706 0.2500 0.1250 [8 per cell]  2 Ir 1.89

The calculation puts the uncorrected energy at -80.2 eV for the cell shown. The polymorph energy (0 for the lowest one) is 0.204 eV/atom. Its energy relative to the elements, uncorrected is 0.10 eV per atom.

---

2.
Material: Ir2BrO
Method: DFT, PBE
State: relaxed

Lattice parameters (Å, degrees): 4.6351 4.6351 13.1474 90.00 90.00 90.00
Last column: nearest neighbours and their distance in Å.
Space group I-42d (No. 122)
Asymmetric unit:
Ir1 0.1117 0.2500 0.1250 [8 per cell]  2 O 2.08
Br1 0.0000 0.0000 0.5000 [4 per cell]  4 Ir 2.70
O1 0.0000 0.0000 0.0000 [4 per cell]  4 Ir 2.08

The calculation puts the uncorrected energy at -88.2 eV for the cell shown. The polymorph energy (0 for the lowest one) is 0.000 eV/atom. Its energy relative to the elements, uncorrected is 0.58 eV per atom.